1 | # VOsPt

Crystalline VOsPt at its relaxed geometry (PBE, the Alexandria database).

Cell and atoms, written as POSCAR:
```
VOsPt
1.0
-2.9539 1.6424 -4.2568
-3.2331 -0.7645 1.9486
1.4645 6.8483 5.1169
Os Pt V
4 4 4
direct
0.7064 0.0000 0.2816
0.7064 0.5000 0.7816
0.5463 0.0000 0.9566
0.5463 0.5000 0.4566
0.3650 0.0000 0.6244
0.3650 0.5000 0.1244
0.0381 0.0000 0.9488
0.0381 0.5000 0.4488
0.8538 0.0000 0.6110
0.8538 0.5000 0.1110
0.2163 0.0000 0.2957
0.2163 0.5000 0.7957
```


2 | # VOsPt

Crystalline VOsPt at its relaxed geometry (PBE, the Alexandria database).

Cell and atoms, written as POSCAR:
```
VOsPt
1.0
4.7827 0.0033 -0.0013
-2.3810 4.1724 0.0016
-0.0266 -2.6834 4.3271
Os Pt V
2 2 2
direct
0.7339 0.8301 0.2457
0.2661 0.1699 0.7543
0.9199 0.5072 0.7499
0.0801 0.4928 0.2501
0.5945 0.8362 0.7365
0.4055 0.1638 0.2635
```


It is 2 that is the least stable of them.